(1)
VASP calculation (GGA-PBE) on a relaxed MnFeIr3 crystal.

formation energy = 1.763 eV per atom
space group = No. 221

abc: 4.406 4.406 4.406
angles: 90.00 90.00 90.00
Site moments in Bohr magnetons follow the coordinates.
Fractional coordinates of all 5 atoms:
Ir: 0.000 0.500 0.000  0.10
Ir: 0.000 0.000 0.500  0.01
Ir: 0.500 0.000 0.000  0.04
Fe: 0.000 0.000 0.000  0.09
Mn: 0.500 0.500 0.500  0.17

***

(2)
VASP calculation (GGA-PBE) on a relaxed Ba3Rh crystal.

formation energy = 0.262 eV per atom
space group = No. 225

abc: 5.890 5.890 5.890
angles: 60.00 60.00 60.00
Fractional coordinates of all 4 atoms:
Ba: 0.250 0.250 0.250
Ba: 0.500 0.500 0.500
Ba: 0.750 0.750 0.750
Rh: 0.000 0.000 0.000

***

(3)
VASP calculation (GGA-PBE) on a relaxed ReOs crystal.

formation energy = 1.402 eV per atom
space group = No. 225

abc: 3.633 3.633 3.633
angles: 60.00 60.00 60.00
Fractional coordinates of all 2 atoms:
Os: 0.000 0.000 0.000
Re: 0.500 0.500 0.500

***

(4)
VASP calculation (GGA-PBE) on a relaxed Dy6Bi3Sb2Se crystal.

formation energy (no corrections) = -1.097 eV/atom
space group = No. 12

abc: 4.386 8.775 9.789
angles: 102.95 102.95 90.00
Fractional coordinates of all 12 atoms:
Dy: 0.339 0.915 0.677
Dy: 0.668 0.580 0.336
Dy: 0.661 0.085 0.323
Dy: 0.000 0.241 0.000
Dy: 0.000 0.759 0.000
Dy: 0.332 0.420 0.664
Bi: 0.500 0.500 0.000
Bi: 0.832 0.165 0.664
Bi: 0.168 0.835 0.336
Sb: 0.835 0.668 0.669
Sb: 0.165 0.332 0.331
Se: 0.500 0.000 0.000

***

no.,final energy (eV for the cell shown),ρ (g/cm3)
1,-35.403,13.35
2,-12.072,5.92
3,-20.873,18.43
4,-64.149,8.94